1.
The following is a DFT calculation (PBE) of a geometry-optimized Na3ErNp3Se8 structure.

For the raw total energy, the calculation gives -6.3253 eV/atom. The density of states at the Fermi level comes out at 28.44 states/eV/f.u. The calculation puts the raw formation energy at -1897 kJ/mol of formula units.

It has space group R-3m (No. 166, hexagonal axes), with a = 8.3173 Å, b = 8.3173 Å, c = 20.9753 Å, α = 90.00°, β = 90.00° and γ = 120.00°. The distinct sites, in fractional coordinates, are Na at (0.0000, 0.5000, 0.0000), Er at (0.0000, 0.0000, 0.5000), Np at (0.0000, 0.5000, 0.5000), Se at (0.0000, 0.0000, 0.2432) and Se at (0.0016, 0.5008, 0.2417).


2.
The following is a DFT calculation (PBE) of a geometry-optimized Pt2RhBr structure.

For the raw total energy, the calculation gives -4.8811 eV/atom. For the energy above the most stable polymorph in this dataset, the calculation gives 0.0091 eV/atom. The density of states at the Fermi level comes out at 5.69 states/eV/f.u. The calculation puts the raw formation energy at 153 kJ/mol of formula units.

It has space group Cm (No. 8), with a = 7.001 Å, b = 2.862 Å, c = 7.403 Å, α = 90.00°, β = 103.02° and γ = 90.00°. The distinct sites, in fractional coordinates, are Pt at (0.000, 0.000, 0.000), Pt at (0.237, 0.000, 0.761), Rh at (0.271, 0.500, 0.231) and Br at (0.041, 0.500, 0.458).


3.
The following is a DFT calculation (PBE) of a geometry-optimized Th2CdRh9 structure.

For the raw total energy, the calculation gives -7.2128 eV/atom. The density of states at the Fermi level comes out at 13.40 states/eV/f.u. The calculation puts the formation energy at -0.386 eV per atom.

It has space group R-3m (No. 166, hexagonal axes), with a = 5.2645 Å, b = 5.2645 Å, c = 26.7888 Å, α = 90.00°, β = 90.00° and γ = 120.00°. The distinct sites, in fractional coordinates, are Th at (0.0000, 0.0000, 0.1343), Cd at (0.0000, 0.0000, 0.0000), Rh at (0.0000, 0.0000, 0.3329), Rh at (0.0000, 0.0000, 0.5000) and Rh at (0.0013, 0.5007, 0.9179).


4.
The following is a DFT calculation (PBE) of a geometry-optimized Pu4MgGe2 structure.

For the raw total energy, the calculation gives -9.6798 eV/atom. The density of states at the Fermi level comes out at 16.88 states/eV/f.u. The calculation puts the formation energy at 0.057 eV per atom.

It has space group R-3m (No. 166, hexagonal axes), with a = 4.8848 Å, b = 4.8848 Å, c = 25.9333 Å, α = 90.00°, β = 90.00° and γ = 120.00°. The distinct sites, in fractional coordinates, are Pu at (0.0000, 0.0000, 0.0442), Pu at (0.0000, 0.0000, 0.2876), Mg at (0.0000, 0.0000, 0.5000) and Ge at (0.0000, 0.0000, 0.4018).


5.
The following is a DFT calculation (PBE) of a geometry-optimized Y2MoRu3 structure.

For the raw total energy, the calculation gives -8.8771 eV/atom. The density of states at the Fermi level comes out at 6.58 states/eV/f.u. The calculation puts the formation energy at -0.279 eV per atom.

It has space group R-3m (No. 166, hexagonal axes), with a = 5.6186 Å, b = 5.6186 Å, c = 12.1532 Å, α = 90.00°, β = 90.00° and γ = 120.00°. The distinct sites, in fractional coordinates, are Y at (0.0000, 0.0000, 0.1273), Mo at (0.0000, 0.0000, 0.5000) and Ru at (0.0000, 0.5000, 0.0000).


6.
The following is a DFT calculation (PBE) of a geometry-optimized MnAsW structure.

For the raw total energy, the calculation gives -8.7447 eV/atom. For the energy above the most stable polymorph in this dataset, the calculation gives 0.2290 eV/atom. The density of states at the Fermi level comes out at 1.60 states/eV/f.u. The calculation puts the formation energy at 0.179 eV per atom.

It has space group I4mm (No. 107), with a = 2.907 Å, b = 2.907 Å, c = 9.725 Å, α = 90.00°, β = 90.00° and γ = 90.00°. The distinct sites, in fractional coordinates, are Mn at (0.000, 0.000, 0.000), As at (0.000, 0.000, 0.367) and W at (0.000, 0.000, 0.680).


7.
The following is a DFT calculation (PBE) of a geometry-optimized Pr5SmTh structure.

For the raw total energy, the calculation gives -4.8322 eV/atom. The density of states at the Fermi level comes out at 10.93 states/eV/f.u. The calculation puts the formation energy at 0.316 eV per atom.

It has space group P4/mmm (No. 123), with a = 5.808 Å, b = 5.808 Å, c = 7.881 Å, α = 90.00°, β = 90.00° and γ = 90.00°. The distinct sites, in fractional coordinates, are Pr at (0.000, 0.000, 0.000), Pr at (0.000, 0.500, 0.282), Sm at (0.500, 0.500, 0.000) and Th at (0.500, 0.500, 0.500).


8.
The following is a DFT calculation (PBE) of a geometry-optimized Mn2VTcAs structure.

For the raw total energy, the calculation gives -7.2361 eV/atom. The density of states at the Fermi level comes out at 8.53 states/eV/f.u. The calculation puts the formation energy at 1.259 eV per atom.

It has space group P4/mmm (No. 123), with a = 4.577 Å, b = 4.577 Å, c = 4.686 Å, α = 90.00°, β = 90.00° and γ = 90.00°. The distinct sites, in fractional coordinates, are Mn at (0.000, 0.500, 0.000), V at (0.000, 0.000, 0.500), Tc at (0.500, 0.500, 0.000) and As at (0.500, 0.500, 0.500).